Below is Mg5Tl3Cd after structural relaxation, with properties calculated at the PBE-GGA level.

Unit cell a=6.128 b=9.012 c=9.008 alpha=120.02 beta=90.00 gamma=90.00
Element x y z (fractional)
Mg 0.750 0.000 0.295
Mg 0.500 0.667 0.333
Mg 0.250 0.000 0.705
Mg 0.250 0.294 0.295
Mg 0.750 0.295 0.000
Mg 0.500 0.333 0.667
Mg 0.250 0.705 0.000
Mg 0.750 0.706 0.705
Mg 0.000 0.667 0.333
Mg 0.000 0.333 0.667
Tl 0.750 0.629 0.000
Tl 0.750 0.000 0.629
Tl 0.250 0.629 0.629
Tl 0.250 0.371 0.000
Tl 0.750 0.371 0.371
Tl 0.250 0.000 0.371
Cd 0.500 0.000 0.000
Cd 0.000 0.000 0.000

Magnetization, μB/cell: 0.00
SG: P6_3/mcm, No. 193
Formation energy, meV per atom: -27.5
D(E_F), states/eV per atom: 0.35
E_tot, Ry/atom: -0.133

=====

Below is Mg3TlCd3 after structural relaxation, with properties calculated at the PBE-GGA level.

Unit cell a=7.887 b=7.887 c=7.887 alpha=90.00 beta=90.00 gamma=90.00
Element x y z (fractional)
Cd 0.250 0.000 0.500
Cd 0.000 0.500 0.250
Cd 0.750 0.000 0.500
Cd 0.500 0.250 0.000
Cd 0.000 0.500 0.750
Cd 0.500 0.750 0.000
Mg 0.750 0.500 0.000
Mg 0.000 0.750 0.500
Mg 0.500 0.000 0.750
Mg 0.250 0.500 0.000
Mg 0.500 0.000 0.250
Mg 0.000 0.250 0.500
Tl 0.000 0.000 0.000
Tl 0.500 0.500 0.500

Magnetization, μB/cell: 0.00
SG: Pm-3n, No. 223
Formation energy, meV per atom: 397.1
D(E_F), states/eV per atom: 0.54
E_tot, Ry/atom: -0.075

=====

Below is MgTlCd2 after structural relaxation, with properties calculated at the PBE-GGA level.

Unit cell a=8.385 b=8.385 c=6.656 alpha=50.96 beta=50.96 gamma=90.00
Element x y z (fractional)
Cd 0.375 0.387 0.750
Cd 0.875 0.863 0.750
Cd 0.137 0.625 0.250
Cd 0.613 0.125 0.250
Mg 0.500 0.500 0.000
Mg 0.250 0.750 0.500
Tl 0.750 0.250 0.500
Tl 0.000 0.000 0.000

Magnetization, μB/cell: 0.00
SG: I-42d, No. 122
Formation energy, meV per atom: 102.6
D(E_F), states/eV per atom: 0.40
E_tot, Ry/atom: -0.099

=====

Below is Mg4TlCd4 after structural relaxation, with properties calculated at the PBE-GGA level.

Unit cell a=6.589 b=6.589 c=10.282 alpha=90.00 beta=90.00 gamma=90.00
Element x y z (fractional)
Mg 0.500 0.246 0.771
Mg 0.000 0.746 0.729
Mg 0.754 0.500 0.229
Mg 0.254 0.000 0.271
Mg 0.746 0.000 0.271
Mg 0.246 0.500 0.229
Mg 0.500 0.754 0.771
Mg 0.000 0.254 0.729
Cd 0.500 0.783 0.065
Cd 0.717 0.000 0.565
Cd 0.000 0.283 0.435
Cd 0.217 0.500 0.935
Cd 0.783 0.500 0.935
Cd 0.283 0.000 0.565
Cd 0.500 0.217 0.065
Cd 0.000 0.717 0.435
Tl 0.500 0.500 0.500
Tl 0.000 0.000 0.000

Magnetization, μB/cell: 0.00
SG: P4_2/nmc, No. 137
Formation energy, meV per atom: 10.9
D(E_F), states/eV per atom: 0.45
E_tot, Ry/atom: -0.101

=====

Below is MgTlCd4 after structural relaxation, with properties calculated at the PBE-GGA level.

Unit cell a=5.936 b=5.936 c=5.936 alpha=60.00 beta=60.00 gamma=60.00
Element x y z (fractional)
Cd 0.625 0.625 0.625
Cd 0.126 0.625 0.625
Cd 0.625 0.126 0.625
Cd 0.625 0.625 0.126
Mg 0.250 0.250 0.250
Tl 0.000 0.000 0.000

Magnetization, μB/cell: 0.00
SG: F-43m, No. 216
Formation energy, meV per atom: 22.8
D(E_F), states/eV per atom: 0.35
E_tot, Ry/atom: -0.092

=====

Below is Mg4TlCd15 after structural relaxation, with properties calculated at the PBE-GGA level.

Unit cell a=4.517 b=4.517 c=22.130 alpha=90.00 beta=90.00 gamma=90.00
Element x y z (fractional)
Cd 0.500 0.500 0.794
Cd 0.500 0.000 0.696
Cd 0.000 0.500 0.696
Cd 0.500 0.000 0.891
Cd 0.500 0.000 0.109
Cd 0.000 0.500 0.304
Cd 0.000 0.500 0.109
Cd 0.000 0.500 0.891
Cd 0.000 0.500 0.500
Cd 0.500 0.000 0.500
Cd 0.500 0.000 0.304
Cd 0.500 0.500 0.597
Cd 0.500 0.500 0.403
Cd 0.500 0.500 0.206
Cd 0.500 0.500 0.000
Mg 0.000 0.000 0.598
Mg 0.000 0.000 0.402
Mg 0.000 0.000 0.207
Mg 0.000 0.000 0.793
Tl 0.000 0.000 0.000

Magnetization, μB/cell: 0.00
SG: P4/mmm, No. 123
Formation energy, meV per atom: -39.6
D(E_F), states/eV per atom: 0.49
E_tot, Ry/atom: -0.085

=====

Below is MgTlCd2 after structural relaxation, with properties calculated at the PBE-GGA level.

Unit cell a=3.337 b=4.407 c=6.580 alpha=90.00 beta=90.00 gamma=90.00
Element x y z (fractional)
Tl 0.500 0.500 0.742
Cd 0.000 0.000 0.016
Cd 0.500 0.500 0.252
Mg 0.000 0.000 0.490

Magnetization, μB/cell: 0.00
SG: Pmm2, No. 25
Formation energy, meV per atom: -1.6
D(E_F), states/eV per atom: 0.37
E_tot, Ry/atom: -0.107

=====

Below is Mg4TlCd3 after structural relaxation, with properties calculated at the PBE-GGA level.

Unit cell a=3.591 b=3.591 c=13.921 alpha=90.00 beta=90.00 gamma=90.00
Element x y z (fractional)
Cd 0.500 0.500 0.741
Cd 0.500 0.500 0.259
Cd 0.500 0.500 0.500
Tl 0.500 0.500 0.000
Mg 0.000 0.000 0.620
Mg 0.000 0.000 0.136
Mg 0.000 0.000 0.380
Mg 0.000 0.000 0.864

Magnetization, μB/cell: 0.00
SG: P4/mmm, No. 123
Formation energy, meV per atom: -72.3
D(E_F), states/eV per atom: 0.35
E_tot, Ry/atom: -0.111